DFT (PBE) results for a relaxed structure of KLa2CdIr.

Summary:
raw total energy	-21.8	eV per cell
ΔE to the lowest computed polymorph	0	kJ/mol of formula units
formation energy from the elements	-0.22	eV/atom

a = 5.5979 Å, b = 5.5979 Å, c = 5.5458 Å
α = 90.00°, β = 90.00°, γ = 90.00°
Space group P4/mmm (No. 123)
Inequivalent atoms, fractional coordinates:
K 0.0000 0.0000 0.0000
La 0.0000 0.5000 0.5000
Cd 0.5000 0.5000 0.0000
Ir 0.5000 0.5000 0.5000